Here is a geometry-optimized Ca2TaIrRu structure from Alexandria via LeMat-Bulk. Energies are from PBE-GGA.

Lattice parameters (Å, degrees): 5.580 4.498 5.580 90.00 90.00 90.00
Site moments in Bohr magnetons follow the coordinates.
Sites, in units of the cell vectors:
Ru 0.000 0.500 0.000  -0.04
Ca 0.000 0.000 0.500  -0.01
Ca 0.500 0.000 0.000  -0.01
Ir 0.500 0.500 0.500  0.65
Ta 0.000 0.000 0.000  0.07

Properties
Its density is 6.6 g/cm³. The final energy comes out at -26.37 eV per formula unit.

=====

Here is a geometry-optimized AlSi2Se structure from Alexandria via LeMat-Bulk. Energies are from PBE-GGA.

Lattice parameters (Å, degrees): 3.271 3.271 6.292 90.00 90.00 90.00
Sites, in units of the cell vectors:
Si 0.000 0.000 0.015
Si 0.000 0.000 0.485
Al 0.500 0.500 0.250
Se 0.500 0.500 0.750

Properties
The calculation puts the energy above the most stable polymorph in this dataset at 438 meV/atom. Its density is 4.0 g/cm³. The final energy comes out at -16.47 eV per formula unit.

=====

Here is a geometry-optimized BaCa2Sc structure from Alexandria via LeMat-Bulk. Energies are from PBE-GGA.

Lattice parameters (Å, degrees): 6.003 3.682 7.316 78.28 90.00 90.00
Sites, in units of the cell vectors:
Sc 0.000 0.485 0.488
Ca 0.000 0.010 0.017
Ca 0.500 0.271 0.260
Ba 0.500 0.734 0.735

Properties
The calculation puts the energy above the most stable polymorph in this dataset at 68 meV/atom. Its density is 2.8 g/cm³. The final energy comes out at -11.27 eV per formula unit.

=====

Here is a geometry-optimized Na2CaHg structure from Alexandria via LeMat-Bulk. Energies are from PBE-GGA.

Lattice parameters (Å, degrees): 4.061 4.061 7.610 90.00 90.00 90.00
Sites, in units of the cell vectors:
Na 0.000 0.000 0.793
Na 0.000 0.000 0.207
Ca 0.500 0.500 0.500
Hg 0.500 0.500 0.000

Properties
Its density is 3.8 g/cm³. The final energy comes out at -5.32 eV per formula unit.